1.
Below is an optimized crystal structure of AlZn2Ag, with properties calculated at the GGA-PBE level.

Cell lengths 2.8888, 4.0041, 5.5385 Å; angles 90.00, 90.00, 90.00 degrees
With the nearest neighbours (Å) after each atom.
Space group Pmmm (No. 47)
Unique sites:
Al  0.0000  0.0000  0.0000 x1  2 Ag 2.77, 8 Zn 2.82, 2 Al 2.89
Zn  0.5000  0.5000  0.2465 x2  4 Zn 2.73-2.89, 4 Al 2.82, 4 Ag 2.84
Ag  0.0000  0.0000  0.5000 x1  2 Al 2.77, 8 Zn 2.84, 2 Ag 2.89

The formation energy is -10 meV/atom. As for the spin magnetization: 0.00 Bohr magnetons per cell.

2.
Below is an optimized crystal structure of Al2ZnAg8, with properties calculated at the GGA-PBE level.

Cell lengths 10.2573, 9.2070, 4.7213 Å; angles 90.00, 105.34, 90.00 degrees
With the nearest neighbours (Å) after each atom.
Space group C2/m (No. 12)
Unique sites:
Al  0.1441  0.0000  0.0470 x4  2 Zn 2.61-2.90, 5 Ag 2.64-2.72, 1 Al 2.87
Zn  0.0000  0.0000  0.5000 x2  6 Ag 2.61-2.70, 4 Al 2.61-2.90
Ag  0.0806  0.5000  0.7958 x4  1 Al 2.72, 6 Ag 2.82-2.88
Ag  0.0886  0.2451  0.2973 x8  1 Al 2.68, 1 Zn 2.70, 4 Ag 2.77-2.97
Ag  0.2368  0.5000  0.3849 x4  1 Zn 2.61, 2 Al 2.64, 4 Ag 2.77-2.82

The energy relative to the lowest polymorph listed for this composition is 0.174 eV per atom. The formation energy is 130 meV/atom. As for the spin magnetization: 0.00 Bohr magnetons per cell.

3.
Below is an optimized crystal structure of AlZn15Ag4, with properties calculated at the GGA-PBE level.

Cell lengths 3.9728, 3.9728, 19.7491 Å; angles 90.00, 90.00, 90.00 degrees
With the nearest neighbours (Å) after each atom.
Space group P4/mmm (No. 123)
Unique sites:
Al  0.0000  0.0000  0.0000 x1  12 Zn 2.76-2.81
Zn  0.0000  0.5000  0.0972 x4  2 Al 2.76, 8 Zn 2.76-2.84, 2 Ag 2.82
Zn  0.0000  0.5000  0.2998 x4  8 Zn 2.79-2.81, 4 Ag 2.82
Zn  0.0000  0.5000  0.5000 x2  4 Ag 2.78, 8 Zn 2.81
Zn  0.5000  0.5000  0.0000 x1  8 Zn 2.76, 4 Al 2.81
Zn  0.5000  0.5000  0.2003 x2  8 Zn 2.79-2.84, 4 Ag 2.81
Zn  0.5000  0.5000  0.3993 x2  8 Zn 2.79-2.81, 4 Ag 2.81
Ag  0.0000  0.0000  0.1987 x2  12 Zn 2.81-2.82
Ag  0.0000  0.0000  0.4012 x2  12 Zn 2.78-2.82

The formation energy is 13 meV/atom. As for the spin magnetization: 0.00 Bohr magnetons per cell.

4.
Below is an optimized crystal structure of AlZn5Ag3, with properties calculated at the GGA-PBE level.

Cell lengths 7.8623, 7.8623, 5.4533 Å; angles 90.00, 90.00, 120.00 degrees
With the nearest neighbours (Å) after each atom.
Space group P6_3/mcm (No. 193)
Unique sites:
Al  0.0000  0.0000  0.0000 x2  2 Al 2.73, 6 Ag 2.84
Zn  0.0000  0.3511  0.2500 x6  5 Ag 2.61-2.74, 4 Zn 2.89
Zn  0.3333  0.6667  0.0000 x4  8 Zn 2.73-2.89, 6 Ag 3.02
Ag  0.0000  0.3165  0.7500 x6  5 Zn 2.61-2.74, 2 Al 2.84

The formation energy is 62 meV/atom. As for the spin magnetization: 0.00 Bohr magnetons per cell.

5.
Below is an optimized crystal structure of Al2ZnAg, with properties calculated at the GGA-PBE level.

Cell lengths 2.9711, 2.9711, 25.9179 Å; angles 90.00, 90.00, 120.00 degrees
With the nearest neighbours (Å) after each atom.
Space group R-3m (No. 166, hexagonal axes)
Unique sites:
Al  0.0000  0.0000  0.2490 x6  3 Zn 2.74, 3 Ag 2.78, 6 Al 2.97
Zn  0.0000  0.0000  0.5000 x3  6 Al 2.74, 6 Zn 2.97
Ag  0.0000  0.0000  0.0000 x3  6 Al 2.78, 6 Ag 2.97

The formation energy is -39 meV/atom. As for the spin magnetization: 0.00 Bohr magnetons per cell.

6.
Below is an optimized crystal structure of Al2ZnAg, with properties calculated at the GGA-PBE level.

Cell lengths 4.2875, 4.2875, 13.5012 Å; angles 90.00, 90.00, 120.00 degrees
With the nearest neighbours (Å) after each atom.
Space group R3m (No. 160, hexagonal axes)
Unique sites:
Al  0.0000  0.0000  0.0000 x3  3 Zn 2.69, 1 Al 2.76, 4 Ag 2.90-2.95
Al  0.0000  0.0000  0.2042 x3  3 Zn 2.57, 3 Ag 2.73, 1 Al 2.76
Zn  0.0000  0.0000  0.5893 x3  6 Al 2.57-2.69, 1 Ag 2.65
Ag  0.0000  0.0000  0.7856 x3  1 Zn 2.65, 7 Al 2.73-2.95

The formation energy is 94 meV/atom. As for the spin magnetization: 0.00 Bohr magnetons per cell.

7.
Below is an optimized crystal structure of AlZnAg2, with properties calculated at the GGA-PBE level.

Cell lengths 9.5795, 2.9367, 4.7834 Å; angles 90.00, 102.13, 90.00 degrees
With the nearest neighbours (Å) after each atom.
Space group Cm (No. 8)
Unique sites:
Al  0.0000  0.0000  0.0000 x2  3 Zn 2.78-3.06, 7 Ag 2.79-2.83, 2 Al 2.94
Zn  0.2373  0.5000  0.2700 x2  7 Ag 2.78-2.84, 3 Al 2.78-3.06, 2 Zn 2.94
Ag  0.2514  0.0000  0.7829 x2  4 Zn 2.78-2.84, 3 Al 2.80-2.82, 5 Ag 2.91-2.99
Ag  0.4892  0.0000  0.4906 x2  4 Al 2.79-2.83, 3 Zn 2.80-2.83, 5 Ag 2.91-2.99

The formation energy is -31 meV/atom. As for the spin magnetization: 0.00 Bohr magnetons per cell.

8.
Below is an optimized crystal structure of Al2Zn7Ag2, with properties calculated at the GGA-PBE level.

Cell lengths 6.7569, 8.3324, 6.5437 Å; angles 90.00, 100.27, 90.00 degrees
With the nearest neighbours (Å) after each atom.
Space group C2/m (No. 12)
Unique sites:
Al  0.0000  0.2185  0.0000 x4  8 Zn 2.68-2.77, 2 Ag 2.79
Zn  0.0000  0.5000  0.5000 x2  2 Ag 2.65, 4 Zn 2.90
Zn  0.1934  0.5000  0.0152 x4  3 Zn 2.59-2.69, 4 Al 2.68-2.77, 1 Ag 2.75
Zn  0.1965  0.2079  0.6710 x8  2 Zn 2.57-2.69, 2 Al 2.72-2.76, 3 Ag 2.74-2.84
Ag  0.1161  0.0000  0.3229 x4  8 Zn 2.65-2.84, 2 Al 2.79

The formation energy is 31 meV/atom. As for the spin magnetization: 0.00 Bohr magnetons per cell.